This record from Alexandria describes an optimized crystal structure of NaTm2Hg9. The functional is GGA-PBE.

Cell: 4.5476 4.5476 14.0226 Å, 90.00 90.00 90.00°
With the nearest neighbours (Å) after each atom.
Space group P4/mmm (No. 123)
Inequivalent atoms, fractional coordinates:
Na1 0.0000 0.0000 0.0000  12 Hg 3.22-3.29
Tm1 0.0000 0.0000 0.3306  12 Hg 3.20-3.29
Hg1 0.0000 0.5000 0.1696  2 Tm 3.20, 8 Hg 3.22-3.29, 2 Na 3.29
Hg2 0.0000 0.5000 0.5000  8 Hg 3.22-3.23, 4 Tm 3.29
Hg3 0.5000 0.5000 0.0000  4 Na 3.22, 8 Hg 3.29
Hg4 0.5000 0.5000 0.3361  4 Tm 3.22, 8 Hg 3.23-3.26

Computed properties:
Formation energy   -248 meV/atom
ρ   12.40 g/cm³